Entry from the Alexandria database: an optimized crystal structure of SrTbGa2Pd5 (GGA-PBE).

Its energy relative to the elements is -5.87 eV per formula unit.

Lattice parameters (Å, degrees): 4.3215 4.3215 9.1899 90.00 90.00 90.00
Sites, in units of the cell vectors:
Pd (0.5000, 0.5000, 0.5000)
Pd (0.5000, 0.0000, 0.2642)
Pd (0.0000, 0.5000, 0.2642)
Pd (0.0000, 0.5000, 0.7358)
Pd (0.5000, 0.0000, 0.7358)
Ga (0.5000, 0.5000, 0.1351)
Ga (0.5000, 0.5000, 0.8649)
Tb (0.0000, 0.0000, 0.0000)
Sr (0.0000, 0.0000, 0.5000)